Mg3Ti: optimized geometry, PBE.

Properties
- Total energy: -2.91 eV/atom
- Density: 2.28 g/cm3

Unit cell a=2.951 b=2.970 c=10.053 alpha=90.00 beta=90.00 gamma=90.00
Fractional coordinates of all 4 atoms:
Mg  0.000  0.000  0.000
Mg  0.000  0.500  0.277
Mg  0.500  0.500  0.756
Ti  0.500  0.000  0.498

***

Mg4Ti3: optimized geometry, PBE.

Properties
- Total energy: -4.17 eV/atom
- Density: 2.83 g/cm3

Unit cell a=8.174 b=8.174 c=4.889 alpha=90.00 beta=90.00 gamma=120.00
Fractional coordinates of all 14 atoms:
Mg  0.088  0.627  0.250
Mg  0.333  0.667  0.750
Mg  0.373  0.461  0.250
Mg  0.461  0.088  0.750
Mg  0.539  0.912  0.250
Mg  0.627  0.539  0.750
Mg  0.667  0.333  0.250
Mg  0.912  0.373  0.750
Ti  0.039  0.829  0.750
Ti  0.171  0.210  0.750
Ti  0.210  0.039  0.250
Ti  0.790  0.961  0.750
Ti  0.829  0.790  0.250
Ti  0.961  0.171  0.250

***

Mg3Ti: optimized geometry, PBE.

Properties
- Total energy: -2.96 eV/atom
- Density: 2.38 g/cm3

Unit cell a=4.942 b=6.163 c=5.533 alpha=90.00 beta=90.00 gamma=90.00
Fractional coordinates of all 8 atoms:
Mg  0.250  0.002  0.163
Mg  0.250  0.498  0.163
Mg  0.250  0.750  0.664
Mg  0.750  0.250  0.336
Mg  0.750  0.502  0.837
Mg  0.750  0.998  0.837
Ti  0.250  0.250  0.646
Ti  0.750  0.750  0.354

***

Mg3Ti: optimized geometry, PBE.

Properties
- Total energy: -2.96 eV/atom
- Density: 2.44 g/cm3

Unit cell a=6.898 b=6.898 c=6.898 alpha=90.00 beta=90.00 gamma=90.00
Fractional coordinates of all 16 atoms:
Mg  0.000  0.000  0.000
Mg  0.000  0.500  0.500
Mg  0.250  0.250  0.250
Mg  0.250  0.250  0.750
Mg  0.250  0.750  0.250
Mg  0.250  0.750  0.750
Mg  0.500  0.000  0.500
Mg  0.500  0.500  0.000
Mg  0.750  0.250  0.250
Mg  0.750  0.250  0.750
Mg  0.750  0.750  0.250
Mg  0.750  0.750  0.750
Ti  0.000  0.000  0.500
Ti  0.000  0.500  0.000
Ti  0.500  0.000  0.000
Ti  0.500  0.500  0.500

***

Mg3Ti: optimized geometry, PBE.

Properties
- Total energy: -3.02 eV/atom
- Density: 2.38 g/cm3

Unit cell a=2.985 b=10.161 c=5.557 alpha=90.00 beta=90.00 gamma=90.00
Fractional coordinates of all 8 atoms:
Mg  0.000  0.000  0.000
Mg  0.000  0.247  0.691
Mg  0.000  0.753  0.691
Mg  0.500  0.253  0.191
Mg  0.500  0.500  0.500
Mg  0.500  0.747  0.191
Ti  0.000  0.500  0.999
Ti  0.500  0.000  0.499

***

Mg4Ti3: optimized geometry, PBE.

Properties
- Total energy: -4.13 eV/atom
- Density: 2.90 g/cm3

Unit cell a=8.026 b=8.026 c=4.948 alpha=90.00 beta=90.00 gamma=120.00
Fractional coordinates of all 14 atoms:
Mg  0.055  0.805  0.250
Mg  0.195  0.250  0.250
Mg  0.250  0.055  0.750
Mg  0.333  0.667  0.250
Mg  0.667  0.333  0.750
Mg  0.750  0.945  0.250
Mg  0.805  0.750  0.750
Mg  0.945  0.195  0.750
Ti  0.110  0.622  0.750
Ti  0.378  0.488  0.750
Ti  0.488  0.110  0.250
Ti  0.512  0.890  0.750
Ti  0.622  0.512  0.250
Ti  0.890  0.378  0.250

***

Mg2Ti2Tl: optimized geometry, PBE.

Properties
- Total energy: -3.94 eV/atom
- Density: 5.38 g/cm3

Unit cell a=7.569 b=7.569 c=3.754 alpha=90.00 beta=90.00 gamma=90.00
Fractional coordinates of all 10 atoms:
Mg  0.173  0.327  0.000
Mg  0.327  0.827  0.000
Mg  0.673  0.173  0.000
Mg  0.827  0.673  0.000
Ti  0.120  0.620  0.500
Ti  0.380  0.120  0.500
Ti  0.620  0.880  0.500
Ti  0.880  0.380  0.500
Tl  0.000  0.000  0.500
Tl  0.500  0.500  0.500

***

Mg3TiTl: optimized geometry, PBE.

Properties
- Total energy: -2.15 eV/atom
- Density: 3.82 g/cm3

Unit cell a=5.209 b=5.209 c=5.209 alpha=90.00 beta=90.00 gamma=90.00
Fractional coordinates of all 5 atoms:
Mg  0.000  0.000  0.500
Mg  0.000  0.500  0.000
Mg  0.500  0.000  0.000
Ti  0.500  0.500  0.500
Tl  0.000  0.000  0.000

***

MgTiTl2: optimized geometry, PBE.

Properties
- Total energy: -3.21 eV/atom
- Density: 8.38 g/cm3

Unit cell a=7.728 b=7.728 c=6.384 alpha=90.00 beta=90.00 gamma=90.00
Fractional coordinates of all 16 atoms:
Mg  0.000  0.000  0.000
Mg  0.000  0.500  0.250
Mg  0.500  0.000  0.750
Mg  0.500  0.500  0.500
Ti  0.000  0.000  0.500
Ti  0.000  0.500  0.750
Ti  0.500  0.000  0.250
Ti  0.500  0.500  0.000
Tl  0.250  0.250  0.125
Tl  0.250  0.250  0.625
Tl  0.250  0.750  0.375
Tl  0.250  0.750  0.875
Tl  0.750  0.250  0.375
Tl  0.750  0.250  0.875
Tl  0.750  0.750  0.125
Tl  0.750  0.750  0.625

***

Mg3TiTl: optimized geometry, PBE.

Properties
- Total energy: -2.19 eV/atom
- Density: 3.28 g/cm3

Unit cell a=5.483 b=5.483 c=5.483 alpha=90.00 beta=90.00 gamma=90.00
Fractional coordinates of all 5 atoms:
Mg  0.000  0.000  0.500
Mg  0.000  0.500  0.000
Mg  0.500  0.000  0.000
Ti  0.000  0.000  0.000
Tl  0.500  0.500  0.500

***

MgTiTl3: optimized geometry, PBE.

Properties
- Total energy: -2.83 eV/atom
- Density: 7.06 g/cm3

Unit cell a=5.442 b=5.442 c=5.442 alpha=90.00 beta=90.00 gamma=90.00
Fractional coordinates of all 5 atoms:
Mg  0.000  0.000  0.000
Ti  0.500  0.500  0.500
Tl  0.000  0.500  0.500
Tl  0.500  0.000  0.500
Tl  0.500  0.500  0.000

***

MgTi2Tl2: optimized geometry, PBE.

Properties
- Total energy: -4.20 eV/atom
- Density: 8.27 g/cm3

Unit cell a=7.569 b=7.569 c=3.708 alpha=90.00 beta=90.00 gamma=90.00
Fractional coordinates of all 10 atoms:
Mg  0.000  0.000  0.000
Mg  0.500  0.500  0.000
Ti  0.168  0.332  0.500
Ti  0.332  0.832  0.500
Ti  0.668  0.168  0.500
Ti  0.832  0.668  0.500
Tl  0.136  0.636  0.000
Tl  0.364  0.136  0.000
Tl  0.636  0.864  0.000
Tl  0.864  0.364  0.000

***

| no. | DFT formation energy (eV/atom) | DOS(E_F) (states/eV/cell) |
| --- | --- | --- |
| 1 | 0.258 | 2.6 |
| 2 | 0.125 | 15.6 |
| 3 | 0.206 | 7.6 |
| 4 | 0.207 | 6.2 |
| 5 | 0.152 | 6.7 |
| 6 | 0.170 | 14.5 |
| 7 | 0.327 | 10.8 |
| 8 | 0.863 | 6.8 |
| 9 | 0.341 | 5.9 |
| 10 | 0.824 | 5.0 |
| 11 | 0.487 | 4.8 |
| 12 | 0.228 | 10.2 |